# Li7Mn2Co3O12 | Alexandria via LeMat-Bulk | PBE with a Hubbard U | optimized geometry
# Mass density in g/cm³: 4.00
# Volume in Å³/cell: 218.77
# Energy in eV per atom: -5.81
# DOS at the Fermi energy in states/eV/cell: 2.41
data_Li7Mn2Co3O12
_symmetry_space_group_name_H-M 'P 1'
_symmetry_Int_Tables_number 1
_symmetry_space_group_name_Hall 'P 1'
_cell_length_a 3.0226
_cell_length_b 8.0580
_cell_length_c 9.8216
_cell_angle_alpha 113.59
_cell_angle_beta 93.59
_cell_angle_gamma 89.35
loop_
_atom_site_label
_atom_site_fract_x
_atom_site_fract_y
_atom_site_fract_z
_atom_site_occupancy
Li1 0.0073 0.1623 0.3318 1
Li2 0.4900 0.6832 0.8417 1
Li3 0.5100 0.3168 0.1583 1
Li4 0.9927 0.8377 0.6682 1
Li5 0.0000 0.5000 0.0000 1
Li6 0.5000 0.0000 0.5000 1
Li7 0.0000 0.0000 0.0000 1
Mn1 0.0066 0.3337 0.6702 1
Mn2 0.9934 0.6663 0.3298 1
Co1 0.5105 0.8397 0.1576 1
Co2 0.5000 0.5000 0.5000 1
Co3 0.4895 0.1603 0.8424 1
O1 0.5383 0.2639 0.5061 1
O2 0.0314 0.7568 0.0116 1
O3 0.9818 0.4282 0.3385 1
O4 0.4995 0.9394 0.8310 1
O5 0.5222 0.6064 0.1705 1
O6 0.0222 0.0967 0.6758 1
O7 0.5005 0.0606 0.1690 1
O8 0.0182 0.5718 0.6615 1
O9 0.9686 0.2432 0.9884 1
O10 0.4617 0.7361 0.4939 1
O11 0.4778 0.3936 0.8295 1
O12 0.9778 0.9033 0.3242 1